18
Lattice="-3.317 4.698 10.101 3.317 -4.698 10.101 3.317 4.698 -10.101" Properties=species:S:1:pos:R:3 comment="La6Nd2Pb (PBE, optimized geometry)" volume_a3_per_atom=35.0 energy_ev_per_atom=-4.85 m_tot_mub_per_atom=0.000 delta_e_f_mev_per_atom=-96 pbc="T T T"
La 4.031 1.674 -3.483
La 0.000 0.000 1.663
La 4.031 -1.674 6.618
La 4.031 1.674 3.483
La 0.000 0.000 8.438
La 0.714 3.024 3.483
La 2.604 1.674 6.618
La 0.000 0.000 11.764
La -0.714 3.024 6.618
La -0.714 6.372 3.483
La 0.000 0.000 18.539
La -0.714 3.024 13.584
Nd 2.679 1.635 0.000
Nd 2.679 -1.635 10.101
Nd 0.639 6.332 0.000
Nd 0.639 3.063 10.101
Pb 0.000 0.000 5.051
Pb 0.000 0.000 15.152

=====

12
Lattice="5.109 0.000 0.000 0.000 5.109 0.000 0.000 0.000 15.625" Properties=species:S:1:pos:R:3 comment="La9NdPb2 (PBE, optimized geometry)" volume_a3_per_atom=34.0 energy_ev_per_atom=-4.95 m_tot_mub_per_atom=0.000 delta_e_f_mev_per_atom=-239 pbc="T T T"
La 0.000 0.000 0.000
La 0.000 0.000 5.293
La 0.000 0.000 10.332
La 0.000 2.554 2.706
La 0.000 2.554 7.813
La 0.000 2.554 12.919
La 2.554 0.000 2.706
La 2.554 0.000 7.813
La 2.554 0.000 12.919
Nd 2.554 2.554 0.000
Pb 2.554 2.554 5.269
Pb 2.554 2.554 10.357

=====

4
Lattice="4.250 0.000 0.000 0.000 4.250 0.000 0.000 0.000 7.236" Properties=species:S:1:pos:R:3 comment="LaNd2Pb (PBE, optimized geometry)" volume_a3_per_atom=32.7 energy_ev_per_atom=-4.79 m_tot_mub_per_atom=0.115 delta_e_f_mev_per_atom=-251 pbc="T T T"
La 0.000 0.000 0.000
Nd 2.125 2.125 2.017
Nd 2.125 2.125 5.219
Pb 0.000 0.000 3.618

=====

18
Lattice="3.689 -8.916 0.000 3.689 8.916 0.000 0.000 0.000 9.309" Properties=species:S:1:pos:R:3 comment="La2Nd3Pb4 (PBE, optimized geometry)" volume_a3_per_atom=34.0 energy_ev_per_atom=-4.81 m_tot_mub_per_atom=0.000 delta_e_f_mev_per_atom=-482 pbc="T T T"
La 3.689 6.944 8.481
La 3.689 1.972 3.826
La 3.689 -1.972 5.483
La 3.689 -6.944 0.828
Nd 0.000 0.000 4.655
Nd 1.844 3.671 6.982
Nd 1.844 -3.671 2.327
Nd 3.689 0.000 0.000
Nd 5.533 3.671 6.982
Nd 5.533 -3.671 2.327
Pb 3.689 5.623 5.187
Pb 1.844 0.521 6.982
Pb 1.844 -0.521 2.327
Pb 3.689 3.293 0.533
Pb 3.689 -3.293 8.777
Pb 5.533 0.521 6.982
Pb 5.533 -0.521 2.327
Pb 3.689 -5.623 4.122